(1)
An optimized crystal structure of In2AgSnBr5, computed with PBE.

a = 9.8982 Å, b = 9.8982 Å, c = 14.3164 Å
α = 90.00°, β = 90.00°, γ = 154.18°
Closest atoms and distances in Å follow each position.
Sites, in units of the cell vectors:
1 In 0.0917 0.9083 0.5000  5 Br 3.20-3.42
2 In 0.1298 0.8702 0.1459  7 Br 3.30-3.49
3 In 0.8702 0.1298 0.6459  7 Br 3.30-3.49
4 In 0.9083 0.0917 0.0000  5 Br 3.20-3.42
5 Ag 0.4476 0.5524 0.2682  4 Br 2.65-2.88
6 Ag 0.5524 0.4476 0.7682  4 Br 2.65-2.88
7 Sn 0.2106 0.7894 0.8565  6 Br 2.89-3.18
8 Sn 0.7894 0.2106 0.3565  6 Br 2.89-3.18
9 Br 0.0463 0.9537 0.8767  2 Ag 2.70
10 Br 0.2821 0.7179 0.5004  2 Sn 3.03
11 Br 0.3040 0.6960 0.2123  1 Ag 2.88, 2 Sn 3.04
12 Br 0.3591 0.6409 0.8306  1 Sn 2.89
13 Br 0.4926 0.5074 0.6012  1 Ag 2.65
14 Br 0.5074 0.4926 0.1012  1 Ag 2.65
15 Br 0.6409 0.3591 0.3306  1 Sn 2.89
16 Br 0.6960 0.3040 0.7123  1 Ag 2.88, 2 Sn 3.04
17 Br 0.7179 0.2821 0.0004  2 Sn 3.03
18 Br 0.9537 0.0463 0.3767  2 Ag 2.70

For the density of states at the Fermi level, the calculation gives 0.00 states/eV/atom. The final energy is -2.92 eV per atom.

---

(2)
An optimized crystal structure of InAgSnBr2, computed with PBE.

a = 5.8676 Å, b = 5.8676 Å, c = 5.3037 Å
α = 90.00°, β = 90.00°, γ = 90.00°
Closest atoms and distances in Å follow each position.
Sites, in units of the cell vectors:
1 In 0.0000 0.0000 0.0000  8 Br 3.95, 4 Ag 4.15
2 Ag 0.5000 0.5000 0.0000  2 Sn 2.65
3 Sn 0.5000 0.5000 0.5000  2 Ag 2.65, 4 Br 2.93
4 Br 0.0000 0.5000 0.5000  2 Sn 2.93
5 Br 0.5000 0.0000 0.5000  2 Sn 2.93

For the density of states at the Fermi level, the calculation gives 0.09 states/eV/atom. The final energy is -2.80 eV per atom.

---

(3)
An optimized crystal structure of InAgSnBr6, computed with PBE.

a = 6.8230 Å, b = 6.8230 Å, c = 12.7186 Å
α = 90.00°, β = 90.00°, γ = 90.00°
Closest atoms and distances in Å follow each position.
Sites, in units of the cell vectors:
1 In 0.0000 0.0000 0.0000  6 Br 2.73-2.77
2 In 0.5000 0.5000 0.5000  6 Br 2.73-2.77
3 Ag 0.0000 0.0000 0.3341  6 Br 2.85-2.93
4 Ag 0.5000 0.5000 0.8341  6 Br 2.85-2.93
5 Sn 0.0000 0.0000 0.6649  6 Br 2.98-3.01
6 Sn 0.5000 0.5000 0.1649  6 Br 2.98-3.01
7 Br 0.1882 0.1882 0.1612  1 In 2.74, 1 Ag 2.85, 1 Sn 3.01
8 Br 0.1965 0.1965 0.8454  1 In 2.73, 1 Ag 2.93, 1 Sn 2.98
9 Br 0.2131 0.2131 0.4945  1 In 2.77, 1 Ag 2.90, 1 Sn 2.99
10 Br 0.2869 0.7131 0.9945  1 In 2.77, 1 Ag 2.90, 1 Sn 2.99
11 Br 0.3035 0.6965 0.3454  1 In 2.73, 1 Ag 2.93, 1 Sn 2.98
12 Br 0.3118 0.6882 0.6612  1 In 2.74, 1 Ag 2.85, 1 Sn 3.01
13 Br 0.6882 0.3118 0.6612  1 In 2.74, 1 Ag 2.85, 1 Sn 3.01
14 Br 0.6965 0.3035 0.3454  1 In 2.73, 1 Ag 2.93, 1 Sn 2.98
15 Br 0.7131 0.2869 0.9945  1 In 2.77, 1 Ag 2.90, 1 Sn 2.99
16 Br 0.7869 0.7869 0.4945  1 In 2.77, 1 Ag 2.90, 1 Sn 2.99
17 Br 0.8035 0.8035 0.8454  1 In 2.73, 1 Ag 2.93, 1 Sn 2.98
18 Br 0.8118 0.8118 0.1612  1 In 2.74, 1 Ag 2.85, 1 Sn 3.01

The final energy is -2.84 eV per atom.